Computed, not measured: crystalline SmCu4Si4 at its relaxed geometry at the PBE level of DFT.

Output
Total moment   0.000 μB per atom
Formation energy from raw total energies   -0.161 eV/atom
Calculated density   6.185 Mg/m³
Energy   -88.5 eV for the cell shown

Cell lengths 5.8372, 5.8372, 8.1450 Å; angles 90.00, 90.00, 90.00 degrees
Closest atoms and distances in Å follow each position.
Atoms (fractional coordinates):
Cu 0.0000 0.2614 0.4059  5 Si 2.39-2.49, 2 Cu 2.65
Cu 0.7614 0.5000 0.9059  5 Si 2.39-2.49, 2 Cu 2.65
Cu 0.2614 0.0000 0.5941  5 Si 2.39-2.49, 2 Cu 2.65
Cu 0.2386 0.5000 0.9059  5 Si 2.39-2.49, 2 Cu 2.65
Cu 0.0000 0.7386 0.4059  5 Si 2.39-2.49, 2 Cu 2.65
Cu 0.5000 0.7614 0.0941  5 Si 2.39-2.49, 2 Cu 2.65
Cu 0.7386 0.0000 0.5941  5 Si 2.39-2.49, 2 Cu 2.65
Cu 0.5000 0.2386 0.0941  5 Si 2.39-2.49, 2 Cu 2.65
Si 0.2022 0.5000 0.1988  1 Si 2.36, 5 Cu 2.39-2.49
Si 0.7978 0.5000 0.1988  1 Si 2.36, 5 Cu 2.39-2.49
Si 0.0000 0.2978 0.6988  1 Si 2.36, 5 Cu 2.39-2.49
Si 0.2978 0.0000 0.3012  1 Si 2.36, 5 Cu 2.39-2.49
Si 0.0000 0.7022 0.6988  1 Si 2.36, 5 Cu 2.39-2.49
Si 0.7022 0.0000 0.3012  1 Si 2.36, 5 Cu 2.39-2.49
Si 0.5000 0.7978 0.8012  1 Si 2.36, 5 Cu 2.39-2.49
Si 0.5000 0.2022 0.8012  1 Si 2.36, 5 Cu 2.39-2.49
Sm 0.0000 0.0000 0.0000  4 Si 3.01, 8 Cu 3.32
Sm 0.5000 0.5000 0.5000  4 Si 3.01, 8 Cu 3.32